Computed, not measured: CaGeTe2I after structural relaxation at the PBE level of DFT.

The total DFT energy (no corrections) comes out at -16.25 eV per formula unit. For the uncorrected formation energy, the calculation gives -34.7 kJ per mole of atoms.

The space group is P4/mmm (No. 123) and the conventional cell measures 5.494, 5.494 and 5.687 Å, with angles of 90.00, 90.00 and 90.00 degrees. The inequivalent atoms are Ca at (0.000, 0.000, 0.000), Ge at (0.500, 0.500, 0.500), Te at (0.000, 0.500, 0.500) and I at (0.500, 0.500, 0.000).